First-principles (PBE) data for a relaxed DySc2Pd2 crystal, as listed in the Alexandria database.

Its density of states at the Fermi level is 8.67 states/eV/cell. Its crystal system is monoclinic.

Unit cell a=5.0564 b=4.6262 c=9.8832 alpha=90.00 beta=103.43 gamma=90.00
Last column: nearest neighbours and their distance in Å.
Space group P2_1/m (No. 11)
One atom of each set of equivalent atoms:
Dy: 0.0307 0.2500 0.2681  5 Pd 2.94-3.06
Sc: 0.2745 0.2500 0.9830  4 Pd 2.72-2.80
Sc: 0.3993 0.2500 0.6144  5 Pd 2.61-2.86
Pd: 0.1485 0.7500 0.4697  4 Sc 2.61-2.86, 2 Pd 2.90
Pd: 0.2693 0.7500 0.1323  5 Sc 2.67-2.80

First-principles (PBE) data for a relaxed Dy4ScPd2 crystal, as listed in the Alexandria database.

Its density of states at the Fermi level is 19.29 states/eV/cell. Its crystal system is trigonal.

Unit cell a=5.1317 b=5.1317 c=24.9962 alpha=90.00 beta=90.00 gamma=120.00
Last column: nearest neighbours and their distance in Å.
Space group R-3m (No. 166, hexagonal axes)
One atom of each set of equivalent atoms:
Dy: 0.0000 0.0000 0.1201  3 Sc 3.18, 3 Pd 3.27, 3 Dy 3.50
Dy: 0.0000 0.0000 0.2876  4 Pd 2.77-3.00
Sc: 0.0000 0.0000 0.5000  2 Pd 2.54
Pd: 0.0000 0.0000 0.3982  1 Sc 2.54, 1 Dy 2.77

First-principles (PBE) data for a relaxed Dy2ScPd9 crystal, as listed in the Alexandria database.

Its density of states at the Fermi level is 9.72 states/eV/cell. Its crystal system is tetragonal.

Unit cell a=4.0924 b=4.0924 c=12.2163 alpha=90.00 beta=90.00 gamma=90.00
Last column: nearest neighbours and their distance in Å.
Space group P4/mmm (No. 123)
One atom of each set of equivalent atoms:
Dy: 0.0000 0.0000 0.1701  12 Pd 2.89-2.92
Sc: 0.0000 0.0000 0.5000  12 Pd 2.82-2.89
Pd: 0.0000 0.5000 0.0000  8 Pd 2.89-2.92, 4 Dy 2.92
Pd: 0.0000 0.5000 0.3407  2 Sc 2.82, 8 Pd 2.82-2.92, 2 Dy 2.92
Pd: 0.5000 0.5000 0.1700  4 Dy 2.89, 8 Pd 2.92
Pd: 0.5000 0.5000 0.5000  8 Pd 2.82, 4 Sc 2.89

First-principles (PBE) data for a relaxed Dy6ScPd3 crystal, as listed in the Alexandria database.

Its density of states at the Fermi level is 47.25 states/eV/cell. Its crystal system is orthorhombic.

Unit cell a=11.3672 b=13.1754 c=7.0888 alpha=90.00 beta=90.00 gamma=90.00
Last column: nearest neighbours and their distance in Å.
Space group Cmc2_1 (No. 36)
One atom of each set of equivalent atoms:
Dy: 0.0000 0.0414 0.0000  4 Pd 3.12
Dy: 0.0000 0.2290 0.6252  3 Pd 2.72-2.77
Dy: 0.1658 0.4625 0.4799  4 Pd 2.75-2.90
Dy: 0.2283 0.1975 0.3226  2 Pd 2.98-3.00
Sc: 0.0000 0.3205 0.1103  1 Pd 2.67
Pd: 0.0000 0.4177 0.7801  1 Sc 2.67, 5 Dy 2.72-2.90
Pd: 0.1864 0.0982 0.6940  5 Dy 2.75-3.00

First-principles (PBE) data for a relaxed DySc2Pd crystal, as listed in the Alexandria database.

Its density of states at the Fermi level is 22.85 states/eV/cell. Its crystal system is orthorhombic. Its energy relative to the lowest polymorph listed for this composition is 0 meV/atom.

Unit cell a=6.5943 b=9.4278 c=6.1027 alpha=90.00 beta=90.00 gamma=90.00
Last column: nearest neighbours and their distance in Å.
Space group Pnma (No. 62)
One atom of each set of equivalent atoms:
Dy: 0.0082 0.2500 0.1191  2 Pd 2.81-2.89
Sc: 0.1769 0.0525 0.6777  2 Pd 2.70-2.79
Pd: 0.1052 0.7500 0.4240  4 Sc 2.70-2.79, 2 Dy 2.81-2.89

First-principles (PBE) data for a relaxed DySc2Pd9 crystal, as listed in the Alexandria database.

Its density of states at the Fermi level is 10.65 states/eV/cell. Its crystal system is tetragonal.

Unit cell a=4.0531 b=4.0531 c=12.1090 alpha=90.00 beta=90.00 gamma=90.00
Last column: nearest neighbours and their distance in Å.
Space group P4/mmm (No. 123)
One atom of each set of equivalent atoms:
Dy: 0.0000 0.0000 0.0000  12 Pd 2.87-2.92
Sc: 0.0000 0.0000 0.3368  12 Pd 2.83-2.87
Pd: 0.0000 0.5000 0.1740  8 Pd 2.83-2.92, 2 Sc 2.83, 2 Dy 2.92
Pd: 0.0000 0.5000 0.5000  4 Sc 2.83, 8 Pd 2.83-2.87
Pd: 0.5000 0.5000 0.0000  4 Dy 2.87, 8 Pd 2.92
Pd: 0.5000 0.5000 0.3367  8 Pd 2.83, 4 Sc 2.87

First-principles (PBE) data for a relaxed Dy2ScPd4 crystal, as listed in the Alexandria database.

Its density of states at the Fermi level is 7.18 states/eV/cell. Its crystal system is monoclinic.

Unit cell a=8.4087 b=5.6249 c=7.1619 alpha=90.00 beta=104.29 gamma=90.00
Last column: nearest neighbours and their distance in Å.
Space group C2/m (No. 12)
One atom of each set of equivalent atoms:
Dy: 0.0915 0.0000 0.2776  6 Pd 2.77-3.08
Sc: 0.0000 0.5000 0.0000  6 Pd 2.53-2.74
Pd: 0.2411 0.5000 0.3370  1 Sc 2.74, 3 Dy 2.77-3.07, 2 Pd 2.81
Pd: 0.2500 0.2500 0.0000  2 Sc 2.53, 4 Pd 2.81

First-principles (PBE) data for a relaxed DySc4Pd5 crystal, as listed in the Alexandria database.

Its density of states at the Fermi level is 6.06 states/eV/cell. Its crystal system is tetragonal.

Unit cell a=3.2967 b=3.2967 c=17.2640 alpha=90.00 beta=90.00 gamma=90.00
Last column: nearest neighbours and their distance in Å.
Space group P4/mmm (No. 123)
One atom of each set of equivalent atoms:
Dy: 0.0000 0.0000 0.0000  8 Pd 3.05, 4 Dy 3.30
Sc: 0.0000 0.0000 0.2070  8 Pd 2.83-2.88
Sc: 0.0000 0.0000 0.4026  8 Pd 2.87
Pd: 0.5000 0.5000 0.1141  4 Sc 2.83, 4 Dy 3.05
Pd: 0.5000 0.5000 0.3053  8 Sc 2.87-2.88
Pd: 0.5000 0.5000 0.5000  8 Sc 2.87

Number 1: total DFT energy (no corrections) -61.91 eV per cell, ΔH_f (0 K) -0.661 eV per atom. Number 2: total DFT energy (no corrections) -112.11 eV per cell, ΔH_f (0 K) -0.321 eV per atom. Number 3: total DFT energy (no corrections) -72.57 eV per cell, ΔH_f (0 K) -0.859 eV per atom. Number 4: total DFT energy (no corrections) -217.38 eV per cell, ΔH_f (0 K) -0.482 eV per atom. Number 5: total DFT energy (no corrections) -97.08 eV per cell, ΔH_f (0 K) -0.453 eV per atom. Number 6: total DFT energy (no corrections) -74.14 eV per cell, ΔH_f (0 K) -0.845 eV per atom. Number 7: total DFT energy (no corrections) -80.11 eV per cell, ΔH_f (0 K) -0.535 eV per atom. Number 8: total DFT energy (no corrections) -64.77 eV per cell, ΔH_f (0 K) -0.888 eV per atom.